# Ba2HoMo3O12 | Alexandria via LeMat-Bulk | GGA+U | relaxed
data_Ba2HoMo3O12
_cell_length_a 7.241
_cell_length_b 7.241
_cell_length_c 7.241
_cell_angle_alpha 62.35
_cell_angle_beta 62.35
_cell_angle_gamma 62.35
_symmetry_space_group_name_H-M 'P 1'
_symmetry_Int_Tables_number 1
_symmetry_space_group_name_Hall 'P 1'
loop_
_atom_site_label
_atom_site_type_symbol
_atom_site_fract_x
_atom_site_fract_y
_atom_site_fract_z
Ba1 Ba 0.135 0.135 0.135
Ba2 Ba 0.865 0.865 0.865
Ho1 Ho 0.500 0.500 0.500
Mo1 Mo 0.000 0.500 0.500
Mo2 Mo 0.500 0.000 0.500
Mo3 Mo 0.500 0.500 0.000
O1 O 0.121 0.605 0.605
O2 O 0.206 0.206 0.580
O3 O 0.206 0.580 0.206
O4 O 0.395 0.395 0.879
O5 O 0.395 0.879 0.395
O6 O 0.420 0.794 0.794
O7 O 0.580 0.206 0.206
O8 O 0.605 0.121 0.605
O9 O 0.605 0.605 0.121
O10 O 0.794 0.420 0.794
O11 O 0.794 0.794 0.420
O12 O 0.879 0.395 0.395
# Space-group type: No. 166
# Magnetization (μB per formula unit): 1.0
# E (eV/atom): -7.107